No. 1
First-principles (PBE-GGA) data for a relaxed Zr3IrC crystal, as listed in the Alexandria database.

Unit cell a=7.5039 b=3.3367 c=7.5156 alpha=90.00 beta=108.42 gamma=90.00
Closest atoms and distances in Å follow each position.
Fractional coordinates of all 10 atoms:
Zr: 0.0661 0.0000 0.3212  2 C 2.29
Zr: 0.3154 0.5000 0.6849  2 C 2.34
Zr: 0.3205 0.0000 0.0652  2 C 2.29
Zr: 0.6795 0.0000 0.9348  2 C 2.29
Zr: 0.6846 0.5000 0.3151  2 C 2.34
Zr: 0.9339 0.0000 0.6788  2 C 2.29
Ir: 0.0000 0.5000 0.0000  8 Zr 2.84-2.85
Ir: 0.5000 0.0000 0.5000  8 Zr 2.80-3.12
C: 0.0000 0.5000 0.5000  6 Zr 2.29-2.34
C: 0.5000 0.5000 0.0000  6 Zr 2.29-2.34

Its energy above the most stable polymorph in this dataset is 0.549 eV per formula unit. The value obtained for the density of states at the Fermi level is 0.887 states/eV per atom. As for the volume: 178.54 Å³ per cell. Its space group is P2/m. For the formation energy, the calculation gives -0.605 eV/atom. As for the crystal system: monoclinic.

***

No. 2
First-principles (PBE-GGA) data for a relaxed PRu3O crystal, as listed in the Alexandria database.

Unit cell a=4.0465 b=4.0465 c=4.0465 alpha=90.00 beta=90.00 gamma=90.00
Closest atoms and distances in Å follow each position.
Fractional coordinates of all 5 atoms:
P: 0.0000 0.0000 0.0000  12 Ru 2.86
Ru: 0.0000 0.5000 0.5000  2 O 2.02
Ru: 0.5000 0.0000 0.5000  2 O 2.02
Ru: 0.5000 0.5000 0.0000  2 O 2.02
O: 0.5000 0.5000 0.5000  6 Ru 2.02

Its energy above the most stable polymorph in this dataset is 0.000 eV per formula unit. The value obtained for the density of states at the Fermi level is 0.937 states/eV per atom. As for the volume: 66.26 Å³ per cell. Its space group is Pm-3m. As for the formation energy from raw total energies: 468 meV/atom. As for the crystal system: cubic.

***

Copy entry 1 word for word.
First-principles (PBE-GGA) data for a relaxed Zr3IrC crystal, as listed in the Alexandria database.

Unit cell a=7.5039 b=3.3367 c=7.5156 alpha=90.00 beta=108.42 gamma=90.00
Closest atoms and distances in Å follow each position.
Fractional coordinates of all 10 atoms:
Zr: 0.0661 0.0000 0.3212  2 C 2.29
Zr: 0.3154 0.5000 0.6849  2 C 2.34
Zr: 0.3205 0.0000 0.0652  2 C 2.29
Zr: 0.6795 0.0000 0.9348  2 C 2.29
Zr: 0.6846 0.5000 0.3151  2 C 2.34
Zr: 0.9339 0.0000 0.6788  2 C 2.29
Ir: 0.0000 0.5000 0.0000  8 Zr 2.84-2.85
Ir: 0.5000 0.0000 0.5000  8 Zr 2.80-3.12
C: 0.0000 0.5000 0.5000  6 Zr 2.29-2.34
C: 0.5000 0.5000 0.0000  6 Zr 2.29-2.34

Its energy above the most stable polymorph in this dataset is 0.549 eV per formula unit. The value obtained for the density of states at the Fermi level is 0.887 states/eV per atom. As for the volume: 178.54 Å³ per cell. Its space group is P2/m. For the formation energy, the calculation gives -0.605 eV/atom. As for the crystal system: monoclinic.